# 1
First-principles (PBE-GGA) data for crystalline LiCd3Au12 at its relaxed geometry, as listed in Alexandria.

```
16
Lattice="-1.981 2.133 3.045 2.256 -2.054 2.906 11.502 11.663 -0.685" Properties=species:S:1:pos:R:3 pbc="T T T"
Au 5.888 5.871 2.633
Au 0.137 0.040 2.976
Au 2.481 0.345 1.372
Au 0.362 2.438 1.442
Au 5.412 3.317 1.198
Au 8.346 6.292 1.023
Cd 8.678 8.800 -0.517
Au 2.950 2.892 2.808
Au 8.826 8.851 2.458
Cd 5.751 5.831 -0.343
Cd 2.823 2.863 -0.168
Au 9.158 11.358 0.918
Li 0.000 0.000 0.000
Au 3.293 5.410 1.267
Au 6.227 8.385 1.093
Au 11.277 9.264 0.848
```

calculated volume	18.2	Å³ per atom
formation energy from the elements	-2.8	eV/f.u.
crystal system	tetragonal
magnetization	0.000	μB/atom
theoretical density	15.5	Mg/m³
total DFT energy (no corrections)	-46.825	eV/cell

***

# 2
First-principles (PBE-GGA) data for crystalline Li4Cd3Au2 at its relaxed geometry, as listed in Alexandria.

```
9
Lattice="4.305 -0.013 0.017 2.141 4.232 0.534 0.028 0.478 8.642" Properties=species:S:1:pos:R:3 pbc="T T T"
Au 4.302 2.869 2.229
Li 4.327 0.337 5.884
Cd 0.000 0.000 0.000
Au 2.171 1.829 6.963
Li 2.147 4.361 3.309
Cd 2.157 1.607 3.916
Li 4.324 3.242 8.098
Cd 4.316 3.091 5.276
Li 2.150 1.456 1.095
```

calculated volume	17.4	Å³ per atom
formation energy from the elements	-3.3	eV/f.u.
crystal system	triclinic
magnetization	0.000	μB/atom
theoretical density	8.0	Mg/m³
total DFT energy (no corrections)	-20.265	eV/cell

***

# 3
First-principles (PBE-GGA) data for crystalline LiCd4Au2 at its relaxed geometry, as listed in Alexandria.

```
7
Lattice="-1.798 4.049 -1.673 -2.367 2.912 2.889 5.014 5.858 2.084" Properties=species:S:1:pos:R:3 pbc="T T T"
Cd -1.693 8.326 1.864
Au 0.721 9.660 2.497
Cd 2.666 7.648 2.238
Au 0.128 3.158 0.803
Li 0.000 0.000 0.000
Cd 2.542 4.492 1.436
Cd -1.818 5.170 1.062
```

calculated volume	20.8	Å³ per atom
formation energy from the elements	-1.8	eV/f.u.
crystal system	trigonal
magnetization	0.000	μB/atom
theoretical density	9.7	Mg/m³
total DFT energy (no corrections)	-13.962	eV/cell

***

# 4
First-principles (PBE-GGA) data for crystalline Li3Cd7Au at its relaxed geometry, as listed in Alexandria.

```
22
Lattice="3.454 0.000 0.000 -1.727 11.289 0.000 0.000 0.000 11.427" Properties=species:S:1:pos:R:3 pbc="T T T"
Cd 1.727 2.448 2.857
Cd 0.000 7.636 1.055
Li 0.000 1.782 0.409
Li 0.000 1.782 5.304
Au 0.000 2.166 8.570
Cd 1.727 0.297 7.127
Cd 0.000 7.636 4.659
Cd 0.000 10.991 4.299
Cd 0.000 4.598 1.255
Cd 1.727 0.297 10.013
Cd 0.000 10.991 1.414
Au 1.727 9.122 2.857
Cd 1.727 3.652 6.768
Cd 0.000 4.598 4.459
Cd 1.727 6.690 10.172
Li 1.727 9.506 11.017
Li 1.727 9.506 6.122
Cd 1.727 6.690 6.968
Li 0.000 5.049 8.570
Li 1.727 6.240 2.857
Cd 0.000 8.840 8.570
Cd 1.727 3.652 10.372
```

calculated volume	20.3	Å³ per atom
formation energy from the elements	-2.0	eV/f.u.
crystal system	orthorhombic
magnetization	0.000	μB/atom
theoretical density	7.5	Mg/m³
total DFT energy (no corrections)	-34.840	eV/cell

***

# 5
First-principles (PBE-GGA) data for crystalline LiCd2Au7 at its relaxed geometry, as listed in Alexandria.

```
10
Lattice="-0.725 4.388 -0.391 -3.669 0.029 7.138 7.866 1.207 -1.042" Properties=species:S:1:pos:R:3 pbc="T T T"
Li 0.000 0.000 0.000
Au 5.778 0.994 0.439
Au 1.566 2.540 0.114
Cd 4.081 3.052 1.190
Au -1.582 0.242 5.658
Au -0.740 2.305 1.749
Au 1.906 3.084 5.592
Au 1.736 2.812 2.853
Au 4.212 3.319 3.957
Cd -0.610 2.573 4.516
```

calculated volume	23.8	Å³ per atom
formation energy from the elements	-0.3	eV/f.u.
crystal system	orthorhombic
magnetization	0.000	μB/atom
theoretical density	11.3	Mg/m³
total DFT energy (no corrections)	-27.021	eV/cell

***

# 6
First-principles (PBE-GGA) data for crystalline LiCdAu2 at its relaxed geometry, as listed in Alexandria.

```
8
Lattice="3.990 0.000 0.000 0.000 3.990 0.000 1.995 1.995 9.718" Properties=species:S:1:pos:R:3 pbc="T T T"
Li 1.995 1.995 0.000
Au 2.974 0.997 2.429
Au 4.987 4.969 7.288
Li 1.995 3.990 4.859
Cd 3.990 1.995 4.859
Au 2.992 3.010 7.288
Au 1.015 2.992 2.429
Cd 0.000 0.000 0.000
```

calculated volume	19.3	Å³ per atom
formation energy from the elements	-0.7	eV/f.u.
crystal system	tetragonal
magnetization	0.000	μB/atom
theoretical density	11.0	Mg/m³
total DFT energy (no corrections)	-20.114	eV/cell

***

# 7
First-principles (PBE-GGA) data for crystalline Li2Cd5Au5 at its relaxed geometry, as listed in Alexandria.

```
12
Lattice="4.179 0.000 0.000 -2.089 6.384 -0.462 0.000 -3.758 8.651" Properties=species:S:1:pos:R:3 pbc="T T T"
Au 0.000 2.468 6.079
Cd 0.000 0.000 0.000
Li 2.089 4.428 1.678
Au 2.089 0.158 2.110
Cd 2.089 2.512 4.035
Cd 2.089 0.272 6.320
Au 2.089 -1.637 8.433
Au 2.089 -1.879 4.326
Cd 0.000 2.354 1.869
Li 0.000 -1.801 6.511
Cd 0.000 0.115 4.154
Au 0.000 4.263 -0.244
```

calculated volume	18.6	Å³ per atom
formation energy from the elements	-3.5	eV/f.u.
crystal system	monoclinic
magnetization	0.000	μB/atom
theoretical density	11.6	Mg/m³
total DFT energy (no corrections)	-28.268	eV/cell

***

# 8
First-principles (PBE-GGA) data for crystalline Li2CdAu at its relaxed geometry, as listed in Alexandria.

```
4
Lattice="-0.325 1.861 -9.086 -3.275 1.445 -8.562 -2.014 4.148 -8.054" Properties=species:S:1:pos:R:3 pbc="T T T"
Li -2.854 3.791 -13.069
Cd -4.210 5.591 -19.277
Au -1.403 1.864 -6.426
Li -5.566 7.391 -25.484
```

calculated volume	18.1	Å³ per atom
formation energy from the elements	-1.1	eV/f.u.
crystal system	trigonal
magnetization	0.000	μB/atom
theoretical density	7.4	Mg/m³
total DFT energy (no corrections)	-9.157	eV/cell

***

# 9
First-principles (PBE-GGA) data for crystalline Li2Cd3Au3 at its relaxed geometry, as listed in Alexandria.

```
8
Lattice="4.182 0.000 -1.262 -0.380 4.297 -1.258 0.093 -0.036 7.865" Properties=species:S:1:pos:R:3 pbc="T T T"
Au 0.378 2.744 1.251
Au 3.517 1.517 4.093
Li 0.993 1.048 3.288
Cd 2.644 0.587 1.200
Cd 1.901 2.148 -1.260
Au 0.000 0.000 0.000
Li 2.902 3.213 2.056
Cd 1.251 3.674 4.144
```

calculated volume	17.7	Å³ per atom
formation energy from the elements	-2.5	eV/f.u.
crystal system	monoclinic
magnetization	0.000	μB/atom
theoretical density	11.0	Mg/m³
total DFT energy (no corrections)	-18.859	eV/cell

***

# 10
First-principles (PBE-GGA) data for crystalline Li4CdAu2 at its relaxed geometry, as listed in Alexandria.

```
7
Lattice="4.355 0.000 1.361 1.965 3.886 1.361 0.105 0.065 7.313" Properties=species:S:1:pos:R:3 pbc="T T T"
Au 1.688 1.038 2.248
Li 0.924 0.568 4.693
Li 2.646 1.627 6.830
Au 4.737 2.913 7.786
Li 3.779 2.324 3.203
Cd 0.000 0.000 0.000
Li 5.501 3.383 5.341
```

calculated volume	17.6	Å³ per atom
formation energy from the elements	-2.9	eV/f.u.
crystal system	trigonal
magnetization	0.000	μB/atom
theoretical density	7.2	Mg/m³
total DFT energy (no corrections)	-18.025	eV/cell

***

# 11
First-principles (PBE-GGA) data for crystalline Li12Cd5Au2 at its relaxed geometry, as listed in Alexandria.

```
19
Lattice="-0.539 2.723 -8.420 5.755 -4.377 2.883 -3.061 -5.041 -1.435" Properties=species:S:1:pos:R:3 pbc="T T T"
Cd -1.218 -4.441 -6.026
Li -1.708 -5.292 -1.602
Li 0.861 -0.027 -7.297
Li 1.294 -6.669 0.326
Cd 1.077 -2.450 -5.529
Li 3.017 -3.504 -3.543
Li -1.118 -1.899 -7.427
Cd -1.530 -2.521 -0.717
Li 3.273 -4.797 0.456
Cd 3.373 -2.255 -0.945
Li 3.864 -1.404 -5.369
Li -0.862 -3.192 -3.428
Li 0.998 -5.172 -4.302
Cd 1.078 -4.246 -1.442
Li 2.906 -6.453 -2.273
Li 1.157 -1.524 -2.669
Li -0.751 -0.243 -4.698
Au -0.394 1.993 -6.162
Au -0.145 0.730 -2.258
```

calculated volume	18.1	Å³ per atom
formation energy from the elements	-4.9	eV/f.u.
crystal system	monoclinic
magnetization	0.000	μB/atom
theoretical density	5.0	Mg/m³
total DFT energy (no corrections)	-39.034	eV/cell

***

# 12
First-principles (PBE-GGA) data for crystalline Li5Cd2Au2 at its relaxed geometry, as listed in Alexandria.

```
18
Lattice="-4.668 1.394 4.838 -5.062 -1.794 -4.368 2.924 -5.912 4.525" Properties=species:S:1:pos:R:3 pbc="T T T"
Li -3.839 -1.025 3.055
Au -2.387 0.245 1.114
Cd -4.696 -3.138 1.245
Li 0.373 -4.631 3.286
Cd 0.170 -2.938 1.010
Au -5.820 0.553 2.584
Au -7.344 -0.645 -0.644
Li -1.106 -3.631 6.443
Li 0.000 0.000 0.000
Li -4.865 -0.200 0.235
Li -7.179 -1.681 1.709
Cd -2.308 -4.768 -0.853
Li -2.967 -5.287 1.940
Li -4.446 -4.287 5.098
Au -3.910 -0.953 -2.114
Cd -2.111 -3.174 3.750
Li -5.701 -2.681 -1.448
Li -2.360 -2.026 -0.102
```

calculated volume	19.0	Å³ per atom
formation energy from the elements	-2.5	eV/f.u.
crystal system	orthorhombic
magnetization	0.000	μB/atom
theoretical density	6.3	Mg/m³
total DFT energy (no corrections)	-40.981	eV/cell

***

# 13
First-principles (PBE-GGA) data for crystalline LiCd4Au4 at its relaxed geometry, as listed in Alexandria.

```
9
Lattice="5.475 0.000 0.000 -2.738 5.970 2.738 0.000 0.000 5.475" Properties=species:S:1:pos:R:3 pbc="T T T"
Cd -1.074 4.838 4.401
Li 0.000 0.000 0.000
Cd 1.663 1.132 3.812
Au 1.106 1.982 1.106
Au 4.369 1.982 4.369
Au -1.631 3.988 7.106
Cd 1.074 4.838 6.549
Cd 3.812 1.132 1.663
Au 1.631 3.988 3.844
```

calculated volume	19.9	Å³ per atom
formation energy from the elements	-0.9	eV/f.u.
crystal system	tetragonal
magnetization	0.000	μB/atom
theoretical density	11.5	Mg/m³
total DFT energy (no corrections)	-19.608	eV/cell

***

# 14
First-principles (PBE-GGA) data for crystalline LiCdAu2 at its relaxed geometry, as listed in Alexandria.

```
4
Lattice="-3.511 0.048 -0.117 0.089 -1.344 -3.245 -0.149 -5.418 2.239" Properties=species:S:1:pos:R:3 pbc="T T T"
Cd -0.074 -2.693 1.113
Au -1.748 -1.999 -1.123
Au -0.146 -5.293 2.188
Li -1.827 -4.855 0.058
```

calculated volume	18.1	Å³ per atom
formation energy from the elements	-1.2	eV/f.u.
crystal system	tetragonal
magnetization	0.000	μB/atom
theoretical density	11.8	Mg/m³
total DFT energy (no corrections)	-10.600	eV/cell

***

# 15
First-principles (PBE-GGA) data for crystalline Li8Cd3Au at its relaxed geometry, as listed in Alexandria.

```
12
Lattice="8.573 0.000 -0.609 -5.425 4.286 3.268 -2.276 0.000 5.928" Properties=species:S:1:pos:R:3 pbc="T T T"
Li 1.656 2.161 2.050
Li 4.453 2.216 1.904
Li 0.379 0.000 3.415
Cd 3.273 0.000 3.322
Li 2.857 0.000 0.470
Li -3.768 2.125 5.319
Au 0.104 0.000 0.642
Li -0.972 2.070 5.173
Cd 1.909 2.141 4.951
Cd -1.240 2.145 2.291
Li 5.862 0.000 0.348
Li 6.124 0.000 3.250
```

calculated volume	17.7	Å³ per atom
formation energy from the elements	-3.2	eV/f.u.
crystal system	monoclinic
magnetization	0.000	μB/atom
theoretical density	4.6	Mg/m³
total DFT energy (no corrections)	-24.528	eV/cell

***

# 16
First-principles (PBE-GGA) data for crystalline Li2Cd3Au4 at its relaxed geometry, as listed in Alexandria.

```
9
Lattice="5.048 0.088 -0.845 2.547 4.438 -0.008 1.250 2.356 7.409" Properties=species:S:1:pos:R:3 pbc="T T T"
Au 3.806 3.885 7.103
Cd 0.000 0.000 0.000
Au 6.716 4.142 4.137
Li 4.259 5.499 4.783
Li 4.586 1.384 1.773
Cd 4.696 4.311 2.100
Cd 4.149 2.572 4.455
Au 5.039 2.997 -0.547
Au 2.129 2.741 2.418
```

calculated volume	18.2	Å³ per atom
formation energy from the elements	-2.9	eV/f.u.
crystal system	triclinic
magnetization	0.000	μB/atom
theoretical density	11.5	Mg/m³
total DFT energy (no corrections)	-22.559	eV/cell

***

# 17
First-principles (PBE-GGA) data for crystalline Li5Cd4Au4 at its relaxed geometry, as listed in Alexandria.

```
13
Lattice="-0.148 4.173 1.248 -1.248 -0.030 7.561 7.175 1.986 1.820" Properties=species:S:1:pos:R:3 pbc="T T T"
Au 1.186 4.303 8.582
Cd 2.803 2.601 6.855
Cd 4.422 5.179 6.038
Au 0.116 3.441 3.727
Li 5.900 3.521 4.147
Li 4.064 4.328 8.838
Cd 1.356 0.950 4.592
Li 0.000 0.000 0.000
Li -0.122 2.608 6.483
Au 4.592 1.826 2.048
Cd 2.976 3.528 3.775
Au 5.662 2.688 6.904
Li 1.715 1.801 1.792
```

calculated volume	18.1	Å³ per atom
formation energy from the elements	-4.6	eV/f.u.
crystal system	tetragonal
magnetization	0.000	μB/atom
theoretical density	9.0	Mg/m³
total DFT energy (no corrections)	-30.948	eV/cell

***

# 18
First-principles (PBE-GGA) data for crystalline Li5Cd4Au2 at its relaxed geometry, as listed in Alexandria.

```
11
Lattice="4.200 0.000 1.471 1.259 6.557 3.137 -0.225 0.153 7.372" Properties=species:S:1:pos:R:3 pbc="T T T"
Li 2.100 0.000 0.736
Au 1.484 5.755 9.222
Li 1.602 2.667 2.156
Li 3.631 4.043 9.825
Cd 0.214 2.050 6.118
Cd 3.003 2.537 4.889
Au 3.749 0.956 2.759
Cd 0.819 4.661 4.391
Cd 2.231 4.173 7.092
Li 4.132 6.207 8.394
Li 1.101 0.504 3.587
```

calculated volume	18.5	Å³ per atom
formation energy from the elements	-3.3	eV/f.u.
crystal system	orthorhombic
magnetization	0.000	μB/atom
theoretical density	7.2	Mg/m³
total DFT energy (no corrections)	-23.081	eV/cell

***

# 19
First-principles (PBE-GGA) data for crystalline Li2Cd2Au at its relaxed geometry, as listed in Alexandria.

```
10
Lattice="5.426 0.000 0.000 0.000 5.666 0.000 -2.713 -2.833 6.543" Properties=species:S:1:pos:R:3 pbc="T T T"
Li 0.000 0.834 4.254
Cd 2.713 4.955 1.423
Li 0.000 3.667 2.288
Li 2.713 -0.834 4.254
Cd 0.000 0.711 1.423
Cd 2.713 2.122 5.120
Au 1.356 2.833 0.000
Cd 0.000 -2.122 5.120
Au 4.069 2.833 0.000
Li 2.713 1.999 2.288
```

calculated volume	20.1	Å³ per atom
formation energy from the elements	-1.3	eV/f.u.
crystal system	orthorhombic
magnetization	0.000	μB/atom
theoretical density	7.2	Mg/m³
total DFT energy (no corrections)	-20.407	eV/cell

***

# 20
First-principles (PBE-GGA) data for crystalline Li2CdAu2 at its relaxed geometry, as listed in Alexandria.

```
5
Lattice="4.686 0.000 0.000 -2.343 4.058 0.000 0.000 0.000 5.303" Properties=species:S:1:pos:R:3 pbc="T T T"
Li 0.000 2.705 3.498
Cd 0.000 0.000 0.000
Li 2.343 1.353 1.805
Au 2.343 1.353 4.428
Au 0.000 2.705 0.875
```

calculated volume	20.2	Å³ per atom
formation energy from the elements	-1.6	eV/f.u.
crystal system	trigonal
magnetization	0.000	μB/atom
theoretical density	8.6	Mg/m³
total DFT energy (no corrections)	-12.916	eV/cell